# 1
La12SmTl3 (PBE-GGA, relaxed); energy relative to the elements = -0.17 eV per atom; space group = No. 123
1.0
5.095 0.000 0.000
0.000 5.095 0.000
0.000 0.000 20.612
La Sm Tl
12 1 3
direct
0.500 0.500 0.000
0.500 0.500 0.255
0.500 0.500 0.500
0.500 0.500 0.745
0.500 0.000 0.130
0.500 0.000 0.377
0.500 0.000 0.623
0.500 0.000 0.870
0.000 0.500 0.130
0.000 0.500 0.377
0.000 0.500 0.623
0.000 0.500 0.870
0.000 0.000 0.000
0.000 0.000 0.255
0.000 0.000 0.500
0.000 0.000 0.745



# 2
AgB (PBE-GGA, relaxed); relative energy among the computed polymorphs = 516 meV per atom; energy relative to the elements = 0.89 eV per atom; space group = No. 70
1.0
3.087 0.000 0.000
0.000 13.939 0.000
0.000 0.000 10.223
Ag B
16 16
direct
0.000 0.163 0.000
0.000 0.837 0.000
0.250 0.587 0.250
0.250 0.913 0.250
0.000 0.663 0.500
0.000 0.337 0.500
0.250 0.087 0.750
0.250 0.413 0.750
0.500 0.163 0.500
0.500 0.837 0.500
0.750 0.587 0.750
0.750 0.913 0.750
0.500 0.663 0.000
0.500 0.337 0.000
0.750 0.087 0.250
0.750 0.413 0.250
0.000 0.000 0.921
0.000 0.000 0.079
0.250 0.750 0.329
0.250 0.750 0.171
0.000 0.500 0.421
0.000 0.500 0.579
0.250 0.250 0.829
0.250 0.250 0.671
0.500 0.000 0.421
0.500 0.000 0.579
0.750 0.750 0.829
0.750 0.750 0.671
0.500 0.500 0.921
0.500 0.500 0.079
0.750 0.250 0.329
0.750 0.250 0.171



# 3
LiGaPt (PBE-GGA, relaxed); energy relative to the elements = -0.70 eV per atom; space group = No. 194
1.0
-4.155 -1.435 0.202
2.648 -1.375 -3.235
1.569 -4.115 3.033
Li Ga Pt
2 2 2
direct
0.000 0.500 0.000
0.000 0.500 0.500
0.333 0.167 0.750
0.667 0.833 0.250
0.667 0.833 0.750
0.333 0.167 0.250



# 4
HoErTm2Te6 (PBE-GGA, relaxed); formation energy from raw total energies = -13.4 eV per formula unit; space group = No. 146
1.0
-5.247 2.762 -4.785
-2.898 -4.456 -5.459
-7.757 -2.610 0.932
Ho Er Tm Te
1 1 2 6
direct
0.823 0.823 0.530
0.324 0.324 0.029
0.508 0.508 0.475
0.008 0.008 0.976
0.602 0.233 0.251
0.233 0.914 0.251
0.914 0.602 0.250
0.413 0.733 0.751
0.733 0.104 0.751
0.104 0.413 0.751



# 5
YbTlCu4 (PBE-GGA, relaxed); energy relative to the elements = -0.20 eV per atom; space group = No. 216
1.0
5.124 0.000 0.000
2.562 4.437 0.000
2.562 1.479 4.183
Tl Yb Cu
1 1 4
direct
0.250 0.250 0.250
0.000 0.000 0.000
0.124 0.625 0.625
0.625 0.124 0.625
0.625 0.625 0.625
0.625 0.625 0.124



# 6
CePuAlTl (PBE-GGA, relaxed); energy relative to the elements = -0.07 eV per atom; space group = No. 216
1.0
-0.247 -2.368 -4.765
3.472 -3.842 -1.248
-1.642 -5.053 -0.381
Tl Al Ce Pu
1 1 1 1
direct
0.000 0.000 0.000
0.500 0.500 0.500
0.750 0.750 0.750
0.250 0.250 0.250



| no. | DFT total energy (eV per atom) | ρ (Mg/m³) |
| --- | --- | --- |
| 1 | -4.606 | 7.54 |
| 2 | -3.872 | 7.17 |
| 3 | -4.364 | 10.06 |
| 4 | -5.033 | 6.81 |
| 5 | -3.584 | 11.03 |
| 6 | -6.667 | 9.56 |